DFT (PBE) results for crystalline Lu4Nb2As3C3 at its relaxed geometry.

Results
Calculated total energy, eV/cell: -177.54
Total moment, Bohr magnetons per cell: 0.0
Calculated density, g/cm³: 9.346

Cell lengths 6.0172, 6.0172, 13.4411 Å; angles 103.29, 103.29, 60.27 degrees
With the nearest neighbours (Å) after each atom.
Fractional positions:
As1 0.5840 0.7175 0.2480  2 Nb 2.79-2.83, 4 Lu 2.82-2.86
As2 0.8830 0.1170 0.2500  2 Nb 2.79, 4 Lu 2.82-2.84
As3 0.2825 0.4160 0.2520  2 Nb 2.79-2.83, 4 Lu 2.82-2.86
As4 0.7175 0.5840 0.7480  2 Nb 2.79-2.83, 4 Lu 2.82-2.86
As5 0.1170 0.8830 0.7500  2 Nb 2.79, 4 Lu 2.82-2.84
As6 0.4160 0.2825 0.7520  2 Nb 2.79-2.83, 4 Lu 2.82-2.86
C1 0.5000 0.0000 0.0000  2 Nb 2.26, 4 Lu 2.43-2.44
C2 0.8072 0.3461 0.0000  2 Nb 2.20-2.21, 2 Lu 2.43
C3 0.1928 0.6539 0.0000  2 Nb 2.20-2.21, 2 Lu 2.43
C4 0.3461 0.8072 0.5000  2 Nb 2.20-2.21, 2 Lu 2.43
C5 0.0000 0.5000 0.5000  2 Nb 2.26, 4 Lu 2.43-2.44
C6 0.6539 0.1928 0.5000  2 Nb 2.20-2.21, 2 Lu 2.43
Lu1 0.1960 0.0418 0.1036  3 C 2.43-2.49
Lu2 0.8761 0.7012 0.1037  3 C 2.43-2.48
Lu3 0.2988 0.1239 0.3963  3 C 2.43-2.48
Lu4 0.9582 0.8040 0.3964  3 C 2.43-2.49
Lu5 0.0418 0.1960 0.6036  3 C 2.43-2.49
Lu6 0.7012 0.8761 0.6037  3 C 2.43-2.48
Lu7 0.1239 0.2988 0.8963  3 C 2.43-2.48
Lu8 0.8040 0.9582 0.8964  3 C 2.43-2.49
Nb1 0.5285 0.3580 0.0851  3 C 2.20-2.26
Nb2 0.6420 0.4715 0.4149  3 C 2.20-2.26
Nb3 0.3580 0.5285 0.5851  3 C 2.20-2.26
Nb4 0.4715 0.6420 0.9149  3 C 2.20-2.26